Entry 1:
SbAs2SBr (PBE, optimized geometry); E_form (uncorrected) = 1000 meV per atom
1.0
5.434 0.000 0.000
0.000 5.434 0.000
0.000 0.000 5.336
Sb As S Br
1 2 1 1
direct
0.000 0.000 0.000
0.000 0.500 0.000
0.500 0.000 0.000
0.500 0.500 0.500
0.000 0.000 0.500

***

Entry 2:
ScAsSBr2 (PBE, optimized geometry); E_form (uncorrected) = 244 meV per atom
1.0
5.042 0.000 0.000
0.000 5.042 0.000
0.000 0.000 4.978
Sc As S Br
1 1 1 2
direct
0.500 0.500 0.500
0.000 0.000 0.500
0.000 0.000 0.000
0.000 0.500 0.000
0.500 0.000 0.000

***

Entry 3:
Sc2AsSBr (PBE, optimized geometry); E_form (uncorrected) = -176 meV per atom
1.0
-1.876 -2.247 -4.248
4.677 -1.090 -1.489
-0.256 -4.507 2.497
Sc As S Br
2 1 1 1
direct
0.000 0.000 0.500
0.500 0.000 0.000
0.000 0.000 0.000
0.500 0.500 0.500
0.000 0.500 0.000

***

Entry 4:
ScAsSBr2 (PBE, optimized geometry); E_form (uncorrected) = -159 meV per atom
1.0
5.001 0.000 0.000
0.000 5.001 0.000
0.000 0.000 5.770
Sc As S Br
1 1 1 2
direct
0.000 0.000 0.000
0.000 0.000 0.500
0.500 0.500 0.500
0.000 0.500 0.000
0.500 0.000 0.000

***

Entry 5:
As2SeSBr (PBE, optimized geometry); E_form (uncorrected) = 791 meV per atom
1.0
-3.022 3.058 -2.588
-1.053 -3.734 -3.182
-3.654 -1.298 2.733
S As Se Br
1 2 1 1
direct
0.000 0.000 0.000
0.000 0.500 0.000
0.500 0.000 0.000
0.500 0.500 0.500
0.000 0.000 0.500

***

Entry 6:
As2SeSBr (PBE, optimized geometry); E_form (uncorrected) = 722 meV per atom
1.0
4.976 0.000 0.000
0.000 4.976 0.000
0.000 0.000 4.818
S As Se Br
1 2 1 1
direct
0.000 0.000 0.000
0.000 0.500 0.000
0.500 0.000 0.000
0.000 0.000 0.500
0.500 0.500 0.500

***

Entry 7:
As2SeSBr (PBE, optimized geometry); E_form (uncorrected) = 1002 meV per atom
1.0
5.197 0.000 0.000
0.000 5.197 0.000
0.000 0.000 4.987
S As Se Br
1 2 1 1
direct
0.500 0.500 0.500
0.000 0.500 0.000
0.500 0.000 0.000
0.000 0.000 0.000
0.000 0.000 0.500

***

Entry 8:
As2SeSBr (PBE, optimized geometry); E_form (uncorrected) = 1428 meV per atom
1.0
-0.544 -0.341 5.176
-2.718 -4.414 -0.577
4.151 -2.591 0.266
S As Se Br
1 2 1 1
direct
0.500 0.500 0.500
0.000 0.500 0.000
0.500 0.000 0.000
0.000 0.000 0.500
0.000 0.000 0.000

***

Entry 9:
SiAs2SBr (PBE, optimized geometry); E_form (uncorrected) = 951 meV per atom
1.0
-2.683 -1.054 -3.903
4.010 -0.096 -2.731
0.541 -4.960 0.968
As Si S Br
2 1 1 1
direct
0.000 0.500 0.000
0.500 0.000 0.000
0.500 0.500 0.500
0.000 0.000 0.000
0.000 0.000 0.500

***

Entry 10:
SiAs2SBr (PBE, optimized geometry); E_form (uncorrected) = 774 meV per atom
1.0
-0.846 -3.931 -2.816
0.905 -2.937 3.828
-4.581 0.135 1.187
As Si S Br
2 1 1 1
direct
0.000 0.500 0.000
0.500 0.000 0.000
0.000 0.000 0.000
0.500 0.500 0.500
0.000 0.000 0.500

***

Entry 11:
SiAsSBr2 (PBE, optimized geometry); E_form (uncorrected) = 597 meV per atom
1.0
-1.519 4.483 -0.675
0.117 -0.672 -4.732
-5.102 -1.711 0.117
As Si S Br
1 1 1 2
direct
0.000 0.000 0.500
0.000 0.000 0.000
0.500 0.500 0.500
0.000 0.500 0.000
0.500 0.000 0.000

***

Entry 12:
Sm6As2S3Br (PBE, optimized geometry); E_form (uncorrected) = -1733 meV per atom
1.0
-2.833 0.772 2.873
-4.894 -5.813 -3.264
6.292 -4.932 4.591
Sm As S Br
6 2 3 1
direct
0.321 0.913 0.641
0.667 0.586 0.333
0.679 0.087 0.359
0.999 0.281 0.999
0.001 0.719 0.001
0.333 0.414 0.667
0.835 0.671 0.671
0.165 0.329 0.329
0.500 0.500 0.000
0.838 0.167 0.675
0.162 0.833 0.325
0.500 0.000 0.000

***

Entry 13:
Sm6As3S2Br (PBE, optimized geometry); E_form (uncorrected) = -1662 meV per atom
1.0
-3.998 0.279 1.102
-2.234 -0.471 -7.989
2.091 -8.819 1.980
Sm As S Br
6 3 2 1
direct
0.323 0.907 0.646
0.669 0.583 0.337
0.677 0.093 0.354
0.004 0.273 0.008
0.996 0.727 0.992
0.331 0.417 0.663
0.500 0.500 0.000
0.839 0.165 0.678
0.161 0.835 0.322
0.833 0.667 0.666
0.167 0.333 0.334
0.500 0.000 0.000

***

Entry 14:
SnAs2SBr (PBE, optimized geometry); E_form (uncorrected) = 505 meV per atom
1.0
-3.325 -2.132 2.871
3.228 -0.102 3.662
-1.659 4.733 1.594
S As Sn Br
1 2 1 1
direct
0.000 0.000 0.000
0.000 0.500 0.000
0.500 0.000 0.000
0.500 0.500 0.500
0.000 0.000 0.500

***

| no. | ρ (g/cm3) | total energy (hartree per atom) |
| --- | --- | --- |
| 1 | 4.0 | -0.1045 |
| 2 | 4.1 | -0.1267 |
| 3 | 3.4 | -0.1764 |
| 4 | 3.6 | -0.1415 |
| 5 | 4.7 | -0.1075 |
| 6 | 4.7 | -0.1101 |
| 7 | 4.2 | -0.0998 |
| 8 | 4.2 | -0.0841 |
| 9 | 4.0 | -0.1159 |
| 10 | 4.2 | -0.1224 |
| 11 | 4.0 | -0.1070 |
| 12 | 6.9 | -0.2219 |
| 13 | 6.9 | -0.2209 |
| 14 | 5.0 | -0.1218 |